# 1
An optimized crystal structure of In2Hg2Pb. Source: the Alexandria database, functional PBEsol.

Structure (POSCAR):
```
In2Hg2Pb
1.0
4.4445 0.0000 0.0000
0.0000 4.4445 0.0000
0.0000 0.0000 13.0947
In Hg Pb
4 4 2
Direct
0.0000 0.5000 0.2500
0.0000 0.5000 0.7500
0.5000 0.0000 0.2500
0.5000 0.0000 0.7500
0.0000 0.0000 0.1044
0.0000 0.0000 0.8956
0.5000 0.5000 0.3956
0.5000 0.5000 0.6044
0.0000 0.0000 0.5000
0.5000 0.5000 0.0000
```

Computed properties:
The value obtained for the relative energy among the computed polymorphs is 49 meV per atom. For the total magnetic moment, the calculation gives 0.0 Bohr magnetons per cell. The formation energy is 0.05 eV/atom.


# 2
An optimized crystal structure of MgSb2W. Source: the Alexandria database, functional PBEsol.

Structure (POSCAR):
```
MgSb2W
1.0
3.5369 0.0000 0.0000
-1.7684 3.0630 0.0000
0.0000 0.0000 24.2037
Mg Sb W
3 6 3
Direct
0.0000 0.0000 0.0000
0.3333 0.6667 0.6667
0.6667 0.3333 0.3333
0.0000 0.0000 0.2419
0.0000 0.0000 0.7581
0.3333 0.6667 0.4248
0.3333 0.6667 0.9085
0.6667 0.3333 0.0915
0.6667 0.3333 0.5752
0.0000 0.0000 0.5000
0.3333 0.6667 0.1667
0.6667 0.3333 0.8333
```

Computed properties:
The value obtained for the relative energy among the computed polymorphs is 39 meV per atom. For the total magnetic moment, the calculation gives 0.0 Bohr magnetons per cell.


# 3
An optimized crystal structure of SbTeAu2. Source: the Alexandria database, functional PBEsol.

Structure (POSCAR):
```
SbTeAu2
1.0
4.1511 0.0000 0.0000
-2.0756 3.5950 0.0000
0.0000 0.0000 18.6177
Sb Te Au
3 3 6
Direct
0.0000 0.0000 0.0000
0.3333 0.6667 0.6667
0.6667 0.3333 0.3333
0.0000 0.0000 0.2187
0.3333 0.6667 0.8854
0.6667 0.3333 0.5521
0.0000 0.0000 0.4770
0.0000 0.0000 0.7363
0.3333 0.6667 0.1437
0.3333 0.6667 0.4030
0.6667 0.3333 0.0696
0.6667 0.3333 0.8103
```

Computed properties:
The value obtained for the relative energy among the computed polymorphs is 2 meV per atom. For the total magnetic moment, the calculation gives 0.0 Bohr magnetons per cell.


# 4
An optimized crystal structure of Li2CuRh. Source: the Alexandria database, functional PBEsol.

Structure (POSCAR):
```
Li2CuRh
1.0
2.9667 0.0000 0.0000
0.0000 2.9667 0.0000
0.0000 0.0000 5.3957
Li Cu Rh
2 1 1
Direct
0.0000 0.0000 0.2491
0.0000 0.0000 0.7509
0.5000 0.5000 0.5000
0.5000 0.5000 0.0000
```

Computed properties:
The value obtained for the relative energy among the computed polymorphs is 144 meV per atom. For the total magnetic moment, the calculation gives 0.0 Bohr magnetons per cell. The formation energy is 0.07 eV/atom.